{
  "formula": "Pm6Nd2Sm",
  "functional": "GGA-PBE",
  "state": "optimized geometry",
  "lattice": [[-3.612, 0.033, 3.698], [-0.592, -5.500, 3.084], [5.797, 0.934, 9.269]],
  "species": ["Nd", "Nd", "Pm", "Pm", "Pm", "Pm", "Pm", "Pm", "Sm"],
  "frac_coords": [[0.666, 0.389, 0.278], [0.334, 0.611, 0.722], [0.000, 0.166, 0.833], [0.333, 0.945, 0.389], [0.667, 0.723, 0.945], [0.000, 0.834, 0.167], [0.333, 0.277, 0.055], [0.667, 0.055, 0.611], [0.000, 0.500, 0.500]],
  "formation_energy_mev_per_atom": 12,
  "volume_a3_per_atom": 34.573,
  "e_tot_ev_per_cell": -42.6,
  "magnetic_moment_mub_per_atom": 0.0000
}